# 1
PrSmSc2In4 | PBE | optimized geometry

abc: 5.2636 5.2636 9.1326
angles: 73.25 73.25 60.00
Fractional coordinates of all 8 atoms:
Sm 0.5000 0.5000 0.5000
Sc 0.2498 0.2498 0.2505
Sc 0.7502 0.7502 0.7495
In 0.6241 0.6241 0.1278
In 0.3759 0.3759 0.8722
In 0.1260 0.1260 0.6221
In 0.8740 0.8740 0.3779
Pr 0.0000 0.0000 0.0000

Summary:
Volume ... 206.64 Å³ per cell
Crystal system ... trigonal
E_form ... -3.44 eV/f.u.

=====

# 2
NpTcAs2 | PBE | optimized geometry

abc: 2.8917 2.8917 10.0295
angles: 81.71 81.71 60.00
Site moments in Bohr magnetons follow the coordinates.
Fractional coordinates of all 4 atoms:
As 0.0832 0.0832 0.7504  -0.04
As 0.9168 0.9168 0.2496  -0.04
Np 0.5000 0.5000 0.5000  2.21
Tc 0.0000 0.0000 0.0000  -0.39

Summary:
Volume ... 71.62 Å³ per cell
Energy above the lowest structure with this stoichiometry ... 693.4 meV per atom
Crystal system ... trigonal
E_form ... 1.11 eV/f.u.

=====

# 3
CsAsCl2 | PBE | optimized geometry

abc: 5.6067 5.6067 5.6067
angles: 60.00 60.00 60.00
Site moments in Bohr magnetons follow the coordinates.
Fractional coordinates of all 4 atoms:
Cs 0.5000 0.5000 0.5000  0.02
As 0.0000 0.0000 0.0000  0.88
Cl 0.7500 0.7500 0.7500  0.06
Cl 0.2500 0.2500 0.2500  0.06

Summary:
Volume ... 124.63 Å³ per cell
Energy above the lowest structure with this stoichiometry ... 303.5 meV per atom
Crystal system ... cubic

=====

# 4
RbNbTeBr | PBE | optimized geometry

abc: 4.1823 4.3533 16.7719
angles: 90.00 90.00 90.00
Site moments in Bohr magnetons follow the coordinates.
Fractional coordinates of all 8 atoms:
Te 0.0000 0.0000 0.1577  -0.11
Te 0.0000 0.5000 0.6577  -0.11
Rb 0.5000 0.5000 0.0176  0.01
Rb 0.5000 0.0000 0.5176  0.01
Br 0.0000 0.5000 0.4120  0.02
Br 0.0000 0.0000 0.9120  0.02
Nb 0.0000 0.0000 0.7541  2.28
Nb 0.0000 0.5000 0.2541  2.28

Summary:
Volume ... 305.36 Å³ per cell
Energy above the lowest structure with this stoichiometry ... 217.0 meV per atom
Crystal system ... orthorhombic

=====

# 5
PaMnCdN3 | PBE | optimized geometry

abc: 3.6470 6.7423 8.0437
angles: 90.00 90.00 105.69
Site moments in Bohr magnetons follow the coordinates.
Fractional coordinates of all 12 atoms:
Pa 0.0000 0.0000 0.5000  0.12
Pa 0.0000 0.0000 0.0000  0.12
N 0.3932 0.7864 0.5040  -0.04
N 0.6068 0.2136 0.4960  -0.04
N 0.0752 0.1505 0.2500  -0.01
N 0.9248 0.8495 0.7500  -0.01
N 0.6068 0.2136 0.0040  -0.04
N 0.3932 0.7864 0.9960  -0.04
Cd 0.3014 0.6028 0.2500  -0.05
Cd 0.6986 0.3972 0.7500  -0.05
Mn 0.3735 0.7470 0.7500  2.77
Mn 0.6265 0.2530 0.2500  2.77

Summary:
Volume ... 190.42 Å³ per cell
Crystal system ... orthorhombic

=====

# 6
CeHoCdSn | PBE | optimized geometry

abc: 5.3479 5.3479 5.3479
angles: 60.00 60.00 60.00
Site moments in Bohr magnetons follow the coordinates.
Fractional coordinates of all 4 atoms:
Ho 0.7500 0.7500 0.7500  0.06
Cd 0.5000 0.5000 0.5000  0.01
Sn 0.0000 0.0000 0.0000  0.01
Ce 0.2500 0.2500 0.2500  0.83

Summary:
Volume ... 108.15 Å³ per cell
Crystal system ... cubic
E_form ... -1.72 eV/f.u.

=====

The evaluated magnetization for the records listed, in turn: 0.00 1.67 2.00 5.96 5.60 1.06 Bohr magnetons per cell.
The evaluated N(E_F) for the records listed, in turn: 0.54 1.58 2.01 0.50 0.25 2.04 states/eV/atom.
The evaluated total DFT energy (no corrections) for the records listed, in turn: -36.56 -31.50 -10.72 -17.02 -47.89 -17.15 eV per formula unit.